DFT (PBE with a Hubbard U) results for a relaxed Ba2HoMoO6 crystal.

**Total DFT energy (no corrections)**: -7.120 eV per atom
**Crystal system**: trigonal
**Symmetry**: R-3m, No. 166

a b c (Å): 10.5018 10.5018 10.5018
angles (deg): 33.81 33.81 33.81
Fractional coordinates of all 20 atoms:
Ba 0.1355 0.1355 0.1355
Ba 0.2761 0.2761 0.2761
Ba 0.7239 0.7239 0.7239
Ba 0.8645 0.8645 0.8645
Ho 0.4082 0.4082 0.4082
Ho 0.5918 0.5918 0.5918
Mo 0.0000 0.0000 0.0000
Mo 0.5000 0.5000 0.5000
O 0.1404 0.6197 0.6197
O 0.1892 0.1892 0.7345
O 0.1892 0.7345 0.1892
O 0.2655 0.8108 0.8108
O 0.3803 0.3803 0.8596
O 0.3803 0.8596 0.3803
O 0.6197 0.1404 0.6197
O 0.6197 0.6197 0.1404
O 0.7345 0.1892 0.1892
O 0.8108 0.2655 0.8108
O 0.8108 0.8108 0.2655
O 0.8596 0.3803 0.3803